1.
# Mg2TcAgBr

An optimized crystal structure of Mg2TcAgBr (PBE, Alexandria).

abc: 5.1862 5.1862 5.2665
angles: 90.00 90.00 90.00
Space group P4/mmm (No. 123)
Inequivalent atoms, fractional coordinates:
Mg1 0.0000 0.5000 0.0000 [2 per cell]
Tc1 0.0000 0.0000 0.5000 [1 per cell]
Ag1 0.5000 0.5000 0.0000 [1 per cell]
Br1 0.5000 0.5000 0.5000 [1 per cell]

energy relative to the elements, uncorrected	1.060	eV/atom
energy	-2.556	eV/atom
M_tot	4.00	μB/f.u.
DOS(E_F)	5.33	states/eV per cell

2.
# Ca3BCl

An optimized crystal structure of Ca3BCl (PBE, Alexandria).

abc: 5.2990 5.2990 5.2990
angles: 90.00 90.00 90.00
Space group Pm-3m (No. 221)
Inequivalent atoms, fractional coordinates:
Ca1 0.0000 0.0000 0.5000 [3 per cell]
B1 0.0000 0.0000 0.0000 [1 per cell]
Cl1 0.5000 0.5000 0.5000 [1 per cell]

energy relative to the elements, uncorrected	-0.301	eV/atom
energy	-3.206	eV/atom
excess energy over the best structure of this formula in the dataset	0	meV per atom
M_tot	0.00	μB/f.u.
DOS(E_F)	0.87	states/eV per cell

3.
# LaZnHg3

An optimized crystal structure of LaZnHg3 (PBE, Alexandria).

abc: 7.0393 12.1680 5.7613
angles: 90.00 90.00 90.00
Space group Cmcm (No. 63)
Inequivalent atoms, fractional coordinates:
La1 0.0000 0.1671 0.2500 [4 per cell]
Zn1 0.0000 0.5000 0.0000 [4 per cell]
Hg1 0.0000 0.3109 0.7500 [4 per cell]
Hg2 0.2161 0.0941 0.7500 [8 per cell]

energy	-1.688	eV/atom
excess energy over the best structure of this formula in the dataset	0	meV per atom
M_tot	0.00	μB/f.u.
DOS(E_F)	11.18	states/eV per cell

4.
# Mn2Be16Fe

An optimized crystal structure of Mn2Be16Fe (PBE, Alexandria).

abc: 7.2561 7.2561 10.6111
angles: 90.00 90.00 120.00
Space group R3m (No. 160, hexagonal axes)
Inequivalent atoms, fractional coordinates:
Mn1 0.0000 0.0000 0.0000 [3 per cell]
Mn2 0.0000 0.0000 0.3232 [3 per cell]
Be1 0.0000 0.0000 0.7702 [3 per cell]
Be2 0.9996 0.3013 0.6577 [18 per cell]
Be3 0.0055 0.5028 0.1592 [9 per cell]
Be4 0.1671 0.3341 0.1453 [9 per cell]
Be5 0.1728 0.3456 0.8359 [9 per cell]
Fe1 0.0000 0.0000 0.5701 [3 per cell]

energy	-4.634	eV/atom
M_tot	5.89	μB/f.u.
DOS(E_F)	21.93	states/eV per cell

5.
# CaP2W

An optimized crystal structure of CaP2W (PBE, Alexandria).

abc: 5.9535 5.9535 11.7488
angles: 90.00 90.00 90.00
Space group I-42d (No. 122)
Inequivalent atoms, fractional coordinates:
Ca1 0.0000 0.0000 0.0000 [4 per cell]
P1 0.1684 0.2500 0.6250 [8 per cell]
W1 0.0000 0.0000 0.5000 [4 per cell]

energy	-6.649	eV/atom
excess energy over the best structure of this formula in the dataset	356	meV per atom
M_tot	0.10	μB/f.u.
DOS(E_F)	13.82	states/eV per cell

6.
# DyCdCuHg

An optimized crystal structure of DyCdCuHg (PBE, Alexandria).

abc: 6.9376 6.9376 6.9376
angles: 90.00 90.00 90.00
Space group F-43m (No. 216)
Inequivalent atoms, fractional coordinates:
Dy1 0.0000 0.0000 0.0000 [4 per cell]
Cd1 0.0000 0.0000 0.5000 [4 per cell]
Cu1 0.2500 0.2500 0.7500 [4 per cell]
Hg1 0.2500 0.2500 0.2500 [4 per cell]

energy	-2.745	eV/atom
M_tot	0.00	μB/f.u.
DOS(E_F)	7.18	states/eV per cell

7.
# SbMoC3

An optimized crystal structure of SbMoC3 (PBE, Alexandria).

abc: 4.1369 4.1369 4.1369
angles: 90.00 90.00 90.00
Space group Pm-3m (No. 221)
Inequivalent atoms, fractional coordinates:
Sb1 0.0000 0.0000 0.0000 [1 per cell]
Mo1 0.5000 0.5000 0.5000 [1 per cell]
C1 0.0000 0.5000 0.5000 [3 per cell]

energy relative to the elements, uncorrected	1.890	eV/atom
energy	-6.635	eV/atom
excess energy over the best structure of this formula in the dataset	0	meV per atom
M_tot	0.00	μB/f.u.
DOS(E_F)	2.92	states/eV per cell

8.
# Tb2Dy5In2

An optimized crystal structure of Tb2Dy5In2 (PBE, Alexandria).

abc: 15.9115 10.4769 6.5417
angles: 90.00 90.00 90.00
Space group Ima2 (No. 46)
Inequivalent atoms, fractional coordinates:
Tb1 0.0000 0.0000 0.0000 [4 per cell]
Tb2 0.2500 0.0178 0.8141 [4 per cell]
Dy1 0.0550 0.2440 0.2996 [8 per cell]
Dy2 0.1508 0.6952 0.6586 [8 per cell]
Dy3 0.2500 0.1104 0.3080 [4 per cell]
In1 0.0880 0.5279 0.0352 [8 per cell]

energy	-4.234	eV/atom
M_tot	0.00	μB/f.u.
DOS(E_F)	41.56	states/eV per cell

Which of these has the highest M_tot? Mn2Be16Fe

Which value of energy does entry 5 give? -6.649 eV/atom